Entry 1:
# LiScPd PBE optimized geometry
# Distance to the lowest polymorph of the same formula, meV per atom: 0.0
# Size of the total moment, μB/f.u.: 0.14
# SG: F-43m
data_LiScPd
_chemical_formula_sum 'Li1 Sc1 Pd1'
_space_group_name_H-M_alt 'P 1'
_space_group_IT_number 1
_space_group_name_Hall 'P 1'
_cell_length_a 4.210
_cell_length_b 4.210
_cell_length_c 4.210
_cell_angle_alpha 60.00
_cell_angle_beta 60.00
_cell_angle_gamma 60.00
loop_
_atom_site_label
_atom_site_type_symbol
_atom_site_fract_x
_atom_site_fract_y
_atom_site_fract_z
Sc1 Sc 0.750 0.750 0.750
Li1 Li 0.000 0.000 0.000
Pd1 Pd 0.250 0.250 0.250

=====

Entry 2:
# Hg2IrO4 PBE optimized geometry
# Size of the total moment, μB/f.u.: 0.07
# SG: C2/c
# Calculated total energy, eV/f.u.: -32.04
data_Hg2IrO4
_chemical_formula_sum 'Hg4 Ir2 O8'
_space_group_name_H-M_alt 'P 1'
_space_group_IT_number 1
_space_group_name_Hall 'P 1'
_cell_length_a 6.733
_cell_length_b 6.733
_cell_length_c 5.124
_cell_angle_alpha 99.51
_cell_angle_beta 99.51
_cell_angle_gamma 111.16
loop_
_atom_site_label
_atom_site_type_symbol
_atom_site_fract_x
_atom_site_fract_y
_atom_site_fract_z
O1 O 0.810 0.908 0.876
O2 O 0.634 0.023 0.294
Ir1 Ir 0.919 0.081 0.250
Hg1 Hg 0.289 0.529 0.970
O3 O 0.908 0.810 0.376
O4 O 0.977 0.366 0.206
Hg2 Hg 0.711 0.471 0.030
Ir2 Ir 0.081 0.919 0.750
Hg3 Hg 0.471 0.711 0.530
O5 O 0.366 0.977 0.706
O6 O 0.092 0.190 0.624
Hg4 Hg 0.529 0.289 0.470
O7 O 0.023 0.634 0.794
O8 O 0.190 0.092 0.124

=====

Entry 3:
# Dy4NiB13 PBE optimized geometry
# Size of the total moment, μB/f.u.: 0.00
# SG: P4/mnc
# Calculated total energy, eV/f.u.: -119.31
data_Dy4NiB13
_chemical_formula_sum 'Dy8 Ni2 B26'
_space_group_name_H-M_alt 'P 1'
_space_group_IT_number 1
_space_group_name_Hall 'P 1'
_cell_length_a 7.315
_cell_length_b 7.315
_cell_length_c 6.896
_cell_angle_alpha 90.00
_cell_angle_beta 90.00
_cell_angle_gamma 90.00
loop_
_atom_site_label
_atom_site_type_symbol
_atom_site_fract_x
_atom_site_fract_y
_atom_site_fract_z
Ni1 Ni 0.500 0.500 0.500
Dy1 Dy 0.820 0.316 0.500
B1 B 0.170 0.960 0.257
Dy2 Dy 0.320 0.184 0.000
B2 B 0.460 0.670 0.757
B3 B 0.040 0.170 0.257
B4 B 0.960 0.830 0.743
B5 B 0.408 0.908 0.750
Dy3 Dy 0.184 0.680 0.000
B6 B 0.830 0.040 0.743
Dy4 Dy 0.316 0.180 0.500
B7 B 0.670 0.540 0.757
B8 B 0.330 0.460 0.243
B9 B 0.830 0.040 0.257
B10 B 0.540 0.330 0.757
B11 B 0.408 0.908 0.250
B12 B 0.540 0.330 0.243
B13 B 0.908 0.592 0.750
B14 B 0.330 0.460 0.757
Dy5 Dy 0.680 0.816 0.000
B15 B 0.592 0.092 0.250
B16 B 0.000 0.000 0.500
Ni2 Ni 0.000 0.000 0.000
B17 B 0.500 0.500 0.000
B18 B 0.092 0.408 0.750
B19 B 0.592 0.092 0.750
Dy6 Dy 0.816 0.320 0.000
B20 B 0.460 0.670 0.243
B21 B 0.960 0.830 0.257
B22 B 0.092 0.408 0.250
B23 B 0.908 0.592 0.250
B24 B 0.170 0.960 0.743
Dy7 Dy 0.180 0.684 0.500
B25 B 0.670 0.540 0.243
Dy8 Dy 0.684 0.820 0.500
B26 B 0.040 0.170 0.743

=====

Entry 4:
# LiSc2Pt PBE optimized geometry
# Distance to the lowest polymorph of the same formula, meV per atom: 0.0
# Size of the total moment, μB/f.u.: 0.00
# SG: Fm-3m
data_LiSc2Pt
_chemical_formula_sum 'Li6 Sc12 Pt6'
_space_group_name_H-M_alt 'P 1'
_space_group_IT_number 1
_space_group_name_Hall 'P 1'
_cell_length_a 4.665
_cell_length_b 6.597
_cell_length_c 13.996
_cell_angle_alpha 90.00
_cell_angle_beta 90.00
_cell_angle_gamma 90.00
loop_
_atom_site_label
_atom_site_type_symbol
_atom_site_fract_x
_atom_site_fract_y
_atom_site_fract_z
Pt1 Pt 0.000 0.000 0.000
Pt2 Pt 0.501 0.500 0.833
Pt3 Pt 0.999 0.000 0.333
Sc1 Sc 0.500 0.750 0.333
Li1 Li 0.000 0.500 0.000
Li2 Li 0.500 0.000 0.500
Sc2 Sc 0.500 0.250 0.333
Sc3 Sc 0.500 0.750 0.667
Li3 Li 0.500 0.000 0.833
Sc4 Sc 0.000 0.250 0.833
Sc5 Sc 0.000 0.750 0.500
Sc6 Sc 0.000 0.250 0.500
Sc7 Sc 0.500 0.750 0.000
Sc8 Sc 0.500 0.250 0.667
Pt4 Pt 0.500 0.500 0.500
Sc9 Sc 0.000 0.250 0.167
Pt5 Pt 0.001 0.000 0.667
Pt6 Pt 0.499 0.500 0.167
Sc10 Sc 0.000 0.750 0.167
Li4 Li 0.000 0.500 0.667
Sc11 Sc 0.500 0.250 0.000
Li5 Li 0.000 0.500 0.333
Sc12 Sc 0.000 0.750 0.833
Li6 Li 0.500 0.000 0.167

=====

Entry 5:
# ScInFe2 PBE optimized geometry
# Size of the total moment, μB/f.u.: 4.32
# SG: F-43m
# Calculated total energy, eV/f.u.: -25.49
data_ScInFe2
_chemical_formula_sum 'Sc1 In1 Fe2'
_space_group_name_H-M_alt 'P 1'
_space_group_IT_number 1
_space_group_name_Hall 'P 1'
_cell_length_a 4.507
_cell_length_b 4.507
_cell_length_c 4.507
_cell_angle_alpha 60.00
_cell_angle_beta 60.00
_cell_angle_gamma 60.00
loop_
_atom_site_label
_atom_site_type_symbol
_atom_site_fract_x
_atom_site_fract_y
_atom_site_fract_z
Fe1 Fe 0.500 0.500 0.500
Fe2 Fe 0.750 0.750 0.750
In1 In 0.250 0.250 0.250
Sc1 Sc 0.000 0.000 0.000

=====

Entry 6:
# Cu2Te2Pb PBE optimized geometry
# SG: P-3m1
# Calculated total energy, eV/f.u.: -17.94
data_Cu2Te2Pb
_chemical_formula_sum 'Cu2 Te2 Pb1'
_space_group_name_H-M_alt 'P 1'
_space_group_IT_number 1
_space_group_name_Hall 'P 1'
_cell_length_a 4.431
_cell_length_b 4.431
_cell_length_c 7.460
_cell_angle_alpha 90.00
_cell_angle_beta 90.00
_cell_angle_gamma 120.00
loop_
_atom_site_label
_atom_site_type_symbol
_atom_site_fract_x
_atom_site_fract_y
_atom_site_fract_z
Pb1 Pb 0.000 0.000 0.000
Te1 Te 0.667 0.333 0.732
Te2 Te 0.333 0.667 0.268
Cu1 Cu 0.667 0.333 0.375
Cu2 Cu 0.333 0.667 0.625